1.
Here is an optimized crystal structure of HfBeS3 from the Alexandria database. Energies are from PBE-GGA.

The value obtained for the density of states at the Fermi level is 1.3 states/eV per cell. For the total energy, the calculation gives -5.4752 eV per atom. As for the total moment: 0.0000 μB per atom. Its energy relative to the elements, uncorrected is -263 meV/atom.

```
data_HfBeS3
_cell_length_a 4.295
_cell_length_b 4.295
_cell_length_c 4.295
_cell_angle_alpha 90.00
_cell_angle_beta 90.00
_cell_angle_gamma 90.00
_symmetry_space_group_name_H-M 'P m -3 m'
_symmetry_Int_Tables_number 221
_symmetry_space_group_name_Hall '-P 4 2 3'
loop_
_atom_site_label
_atom_site_type_symbol
_atom_site_fract_x
_atom_site_fract_y
_atom_site_fract_z
Hf1 Hf 0.000 0.000 0.000
Be1 Be 0.500 0.500 0.500
S1 S 0.000 0.500 0.500
```



2.
Here is an optimized crystal structure of ReRuSe2N from the Alexandria database. Energies are from PBE-GGA.

The value obtained for the density of states at the Fermi level is 3.1 states/eV per cell. For the total energy, the calculation gives -6.2998 eV per atom. As for the total moment: 0.6015 μB per atom. Its energy relative to the elements, uncorrected is 1104 meV/atom.

```
data_ReRuSe2N
_cell_length_a 5.014
_cell_length_b 5.014
_cell_length_c 3.605
_cell_angle_alpha 90.00
_cell_angle_beta 90.00
_cell_angle_gamma 90.00
_symmetry_space_group_name_H-M 'P 4/m m m'
_symmetry_Int_Tables_number 123
_symmetry_space_group_name_Hall '-P 4 2'
loop_
_atom_site_label
_atom_site_type_symbol
_atom_site_fract_x
_atom_site_fract_y
_atom_site_fract_z
Re1 Re 0.000 0.000 0.000
Ru1 Ru 0.500 0.500 0.500
Se1 Se 0.000 0.500 0.500
N1 N 0.500 0.500 0.000
```



3.
Here is an optimized crystal structure of BaHSe2 from the Alexandria database. Energies are from PBE-GGA.

The value obtained for the density of states at the Fermi level is 16.3 states/eV per cell. For the total energy, the calculation gives -3.1470 eV per atom. As for the total moment: 0.6811 μB per atom.

```
data_BaHSe2
_cell_length_a 7.629
_cell_length_b 7.629
_cell_length_c 7.629
_cell_angle_alpha 90.00
_cell_angle_beta 90.00
_cell_angle_gamma 90.00
_symmetry_space_group_name_H-M 'F m -3 m'
_symmetry_Int_Tables_number 225
_symmetry_space_group_name_Hall '-F 4 2 3'
loop_
_atom_site_label
_atom_site_type_symbol
_atom_site_fract_x
_atom_site_fract_y
_atom_site_fract_z
Ba1 Ba 0.000 0.000 0.000
H1 H 0.000 0.000 0.500
Se1 Se 0.250 0.250 0.250
```



4.
Here is an optimized crystal structure of Pr2Nd4Dy2Mg from the Alexandria database. Energies are from PBE-GGA.

For the formation energy from the elements, the calculation gives 0.125 eV/atom. The value obtained for the density of states at the Fermi level is 11.8 states/eV per cell. For the total energy, the calculation gives -4.2560 eV per atom. As for the total moment: 0.0000 μB per atom.

```
data_Pr2Nd4Dy2Mg
_cell_length_a 6.722
_cell_length_b 6.921
_cell_length_c 7.915
_cell_angle_alpha 86.14
_cell_angle_beta 72.03
_cell_angle_gamma 63.39
_symmetry_space_group_name_H-M 'P -1'
_symmetry_Int_Tables_number 2
_symmetry_space_group_name_Hall '-P 1'
loop_
_atom_site_label
_atom_site_type_symbol
_atom_site_fract_x
_atom_site_fract_y
_atom_site_fract_z
Pr1 Pr 0.032 0.162 0.317
Nd1 Nd 0.031 0.660 0.152
Nd2 Nd 0.498 0.621 0.283
Dy1 Dy 0.408 0.862 0.899
Mg1 Mg 0.500 0.000 0.500
```



5.
Here is an optimized crystal structure of Y2TaHg from the Alexandria database. Energies are from PBE-GGA.

For the formation energy from the elements, the calculation gives 0.196 eV/atom. The value obtained for the density of states at the Fermi level is 6.2 states/eV per cell. For the total energy, the calculation gives -6.0751 eV per atom. As for the total moment: 0.0003 μB per atom.

```
data_Y2TaHg
_cell_length_a 4.710
_cell_length_b 4.710
_cell_length_c 4.359
_cell_angle_alpha 90.00
_cell_angle_beta 90.00
_cell_angle_gamma 90.00
_symmetry_space_group_name_H-M 'P 4/m m m'
_symmetry_Int_Tables_number 123
_symmetry_space_group_name_Hall '-P 4 2'
loop_
_atom_site_label
_atom_site_type_symbol
_atom_site_fract_x
_atom_site_fract_y
_atom_site_fract_z
Y1 Y 0.000 0.500 0.000
Ta1 Ta 0.000 0.000 0.500
Hg1 Hg 0.500 0.500 0.500
```



6.
Here is an optimized crystal structure of Ac3PmDy2Se6 from the Alexandria database. Energies are from PBE-GGA.

The value obtained for the density of states at the Fermi level is 10.5 states/eV per cell. For the total energy, the calculation gives -5.7478 eV per atom. As for the total moment: 0.0000 μB per atom. Its energy relative to the elements, uncorrected is -1816 meV/atom.

```
data_Ac3PmDy2Se6
_cell_length_a 7.287
_cell_length_b 12.661
_cell_length_c 7.661
_cell_angle_alpha 90.00
_cell_angle_beta 108.61
_cell_angle_gamma 90.00
_symmetry_space_group_name_H-M 'C 1 2/m 1'
_symmetry_Int_Tables_number 12
_symmetry_space_group_name_Hall '-C 2y'
loop_
_atom_site_label
_atom_site_type_symbol
_atom_site_fract_x
_atom_site_fract_y
_atom_site_fract_z
Ac1 Ac 0.000 0.000 0.000
Ac2 Ac 0.000 0.336 0.000
Pm1 Pm 0.000 0.500 0.500
Dy1 Dy 0.000 0.167 0.500
Se1 Se 0.233 0.000 0.721
Se2 Se 0.245 0.330 0.724
```



7.
Here is an optimized crystal structure of YHg2Rh from the Alexandria database. Energies are from PBE-GGA.

For the formation energy from the elements, the calculation gives -0.195 eV/atom. The value obtained for the density of states at the Fermi level is 4.8 states/eV per cell. For the total energy, the calculation gives -3.7996 eV per atom. As for the total moment: 0.0000 μB per atom.

```
data_YHg2Rh
_cell_length_a 4.122
_cell_length_b 4.122
_cell_length_c 21.493
_cell_angle_alpha 90.00
_cell_angle_beta 90.00
_cell_angle_gamma 90.00
_symmetry_space_group_name_H-M 'I -4 2 d'
_symmetry_Int_Tables_number 122
_symmetry_space_group_name_Hall 'I -4 2bw'
loop_
_atom_site_label
_atom_site_type_symbol
_atom_site_fract_x
_atom_site_fract_y
_atom_site_fract_z
Y1 Y 0.000 0.000 0.000
Hg1 Hg 0.233 0.250 0.625
Rh1 Rh 0.000 0.000 0.500
```



8.
Here is an optimized crystal structure of RbNiMo3 from the Alexandria database. Energies are from PBE-GGA.

For the formation energy from the elements, the calculation gives 3.403 eV/atom. The value obtained for the density of states at the Fermi level is 3.1 states/eV per cell. For the total energy, the calculation gives -4.4451 eV per atom. As for the total moment: 0.0000 μB per atom.

```
data_RbNiMo3
_cell_length_a 4.614
_cell_length_b 4.614
_cell_length_c 4.614
_cell_angle_alpha 90.00
_cell_angle_beta 90.00
_cell_angle_gamma 90.00
_symmetry_space_group_name_H-M 'P m -3 m'
_symmetry_Int_Tables_number 221
_symmetry_space_group_name_Hall '-P 4 2 3'
loop_
_atom_site_label
_atom_site_type_symbol
_atom_site_fract_x
_atom_site_fract_y
_atom_site_fract_z
Rb1 Rb 0.000 0.000 0.000
Ni1 Ni 0.500 0.500 0.500
Mo1 Mo 0.000 0.000 0.500
```



9.
Here is an optimized crystal structure of TbPmNdTm2 from the Alexandria database. Energies are from PBE-GGA.

For the formation energy from the elements, the calculation gives 0.344 eV/atom. The value obtained for the density of states at the Fermi level is 31.2 states/eV per cell. For the total energy, the calculation gives -4.2741 eV per atom. As for the total moment: 0.0000 μB per atom.

```
data_TbPmNdTm2
_cell_length_a 6.409
_cell_length_b 16.608
_cell_length_c 6.405
_cell_angle_alpha 90.00
_cell_angle_beta 90.00
_cell_angle_gamma 90.00
_symmetry_space_group_name_H-M 'C m c m'
_symmetry_Int_Tables_number 63
_symmetry_space_group_name_Hall '-C 2c 2'
loop_
_atom_site_label
_atom_site_type_symbol
_atom_site_fract_x
_atom_site_fract_y
_atom_site_fract_z
Tb1 Tb 0.000 0.250 0.250
Pm1 Pm 0.000 0.156 0.750
Nd1 Nd 0.000 0.343 0.750
Tm1 Tm 0.250 0.000 0.000
```



10.
Here is an optimized crystal structure of MnPIr2 from the Alexandria database. Energies are from PBE-GGA.

For the formation energy from the elements, the calculation gives -0.149 eV/atom. The value obtained for the density of states at the Fermi level is 6.0 states/eV per cell. For the total energy, the calculation gives -8.2247 eV per atom. As for the total moment: 0.6017 μB per atom.

```
data_MnPIr2
_cell_length_a 2.834
_cell_length_b 4.250
_cell_length_c 8.860
_cell_angle_alpha 90.00
_cell_angle_beta 90.00
_cell_angle_gamma 90.00
_symmetry_space_group_name_H-M 'I m m 2'
_symmetry_Int_Tables_number 44
_symmetry_space_group_name_Hall 'I 2 -2'
loop_
_atom_site_label
_atom_site_type_symbol
_atom_site_fract_x
_atom_site_fract_y
_atom_site_fract_z
Mn1 Mn 0.000 0.000 0.000
P1 P 0.000 0.500 0.710
Ir1 Ir 0.000 0.000 0.423
Ir2 Ir 0.000 0.500 0.206
```